No. 1
A plane-wave DFT calculation with meta-GGA SCAN was carried out for Co6SiTc at its PBEsol-relaxed geometry.

abc: 6.014 6.014 9.825
angles: 90.00 90.00 109.60
Element x y z (fractional)
Co 0.000 0.000 0.000
Co 0.000 0.000 0.500
Co 0.124 0.373 0.374
Co 0.124 0.373 0.626
Co 0.125 0.374 0.124
Co 0.125 0.374 0.876
Co 0.250 0.750 0.249
Co 0.250 0.750 0.751
Co 0.373 0.124 0.374
Co 0.373 0.124 0.626
Co 0.374 0.125 0.124
Co 0.374 0.125 0.876
Co 0.500 0.500 0.000
Co 0.500 0.500 0.500
Co 0.626 0.875 0.124
Co 0.626 0.875 0.876
Co 0.627 0.876 0.374
Co 0.627 0.876 0.626
Co 0.750 0.250 0.249
Co 0.750 0.250 0.751
Co 0.875 0.626 0.124
Co 0.875 0.626 0.876
Co 0.876 0.627 0.374
Co 0.876 0.627 0.626
Si 0.000 0.000 0.246
Si 0.000 0.000 0.754
Si 0.255 0.745 0.000
Si 0.745 0.255 0.000
Tc 0.255 0.745 0.500
Tc 0.500 0.500 0.245
Tc 0.500 0.500 0.755
Tc 0.745 0.255 0.500

As for the total energy: -593.524 eV for the cell shown. The calculation puts the theoretical density at 9.5 Mg/m³. Its total magnetization is 0.00 μB/f.u.

***

No. 2
A plane-wave DFT calculation with meta-GGA SCAN was carried out for AlWAu2 at its PBEsol-relaxed geometry.

abc: 2.906 4.672 4.752
angles: 90.00 90.00 90.00
Element x y z (fractional)
Al 0.000 0.000 0.000
W 0.500 0.500 0.000
Au 0.000 0.500 0.500
Au 0.500 0.000 0.500

As for the total energy: -214.949 eV for the cell shown. As for the calculated formation energy: 0.201 eV/atom. The calculation puts the theoretical density at 15.6 Mg/m³. Its total magnetization is 0.00 μB/f.u.

***

No. 3
A plane-wave DFT calculation with meta-GGA SCAN was carried out for MgZn2Cd at its PBEsol-relaxed geometry.

abc: 4.210 4.210 3.925
angles: 90.00 90.00 90.00
Element x y z (fractional)
Mg 0.000 0.000 0.000
Zn 0.000 0.500 0.500
Zn 0.500 0.000 0.500
Cd 0.500 0.500 0.000

As for the total energy: -62.547 eV for the cell shown. As for the calculated formation energy: -0.032 eV/atom. The calculation puts the theoretical density at 6.4 Mg/m³. As for the offset from the most stable computed form: 0.12 eV per formula unit. Its total magnetization is 0.00 μB/f.u.

***

No. 4
A plane-wave DFT calculation with meta-GGA SCAN was carried out for Na2P2Au at its PBEsol-relaxed geometry.

abc: 6.362 6.362 4.637
angles: 90.00 90.00 90.00
Element x y z (fractional)
Na 0.177 0.323 0.000
Na 0.323 0.823 0.000
Na 0.677 0.177 0.000
Na 0.823 0.677 0.000
P 0.124 0.624 0.500
P 0.376 0.124 0.500
P 0.624 0.876 0.500
P 0.876 0.376 0.500
Au 0.000 0.000 0.500
Au 0.500 0.500 0.500

As for the total energy: -200.962 eV for the cell shown. As for the calculated formation energy: -0.419 eV/atom. The calculation puts the theoretical density at 5.4 Mg/m³. As for the offset from the most stable computed form: 0.00 eV per formula unit. Its total magnetization is 0.00 μB/f.u.